# 1
First-principles (PBE) data for crystalline Tb6PmTh2 at its relaxed geometry, as listed in Alexandria.

Structure (POSCAR):
```
Tb6PmTh2
1.0
3.5799 0.0000 0.0000
-1.7899 3.1003 0.0000
0.0000 0.0000 26.5233
Tb Pm Th
6 1 2
Cartesian
1.7899 1.0334 23.5730
0.0000 2.0668 11.5906
0.0000 2.0668 20.7117
0.0000 2.0668 5.8115
0.0000 2.0668 14.9327
1.7899 1.0334 2.9502
0.0000 2.0668 0.0000
1.7899 1.0334 8.7611
1.7899 1.0334 17.7622
```

Summary:
SG ... P-6m2
Calculated formation energy ... 0.0748 eV per atom

***

# 2
First-principles (PBE) data for crystalline Tb3Pm7Th at its relaxed geometry, as listed in Alexandria.

Structure (POSCAR):
```
Tb3Pm7Th
1.0
-1.0503 0.5753 8.6222
5.2493 -4.8311 0.9617
1.5745 7.0188 -0.2765
Tb Pm Th
3 7 1
Cartesian
2.5842 1.5723 7.0575
3.3594 5.0280 6.9214
-0.0003 3.9509 6.5840
2.0750 5.0752 0.9446
1.3021 1.6299 1.0803
3.9023 -0.8143 1.5507
4.1576 -2.5850 4.6619
1.5468 -0.1822 4.1835
4.9407 0.9059 4.5244
4.6517 2.7038 1.4166
2.3267 3.3278 4.0170
```

Summary:
SG ... P3m1
Calculated formation energy ... 0.1886 eV per atom

***

# 3
First-principles (PBE) data for crystalline Tb4Pm2Th at its relaxed geometry, as listed in Alexandria.

Structure (POSCAR):
```
Tb4Pm2Th
1.0
3.5965 0.0000 0.0000
1.7983 3.1147 0.0000
1.7983 1.0382 20.3756
Tb Pm Th
4 2 1
Cartesian
1.7983 1.0382 11.6350
1.7983 1.0382 2.8176
5.3948 3.1147 17.5580
5.3948 3.1147 8.7405
3.5965 2.0764 14.5464
3.5965 2.0764 5.8291
0.0000 0.0000 0.0000
```

Summary:
SG ... R-3m
Calculated formation energy ... 0.0123 eV per atom

***

# 4
First-principles (PBE) data for crystalline Tb2Pm2Th15 at its relaxed geometry, as listed in Alexandria.

Structure (POSCAR):
```
Tb2Pm2Th15
1.0
-3.4437 -4.1931 -6.8856
-1.9811 -7.5244 4.0387
-8.4398 1.7035 1.6495
Tb Pm Th
2 2 15
Cartesian
-12.4614 -9.0005 -1.0762
-1.4032 -1.0135 -0.1212
-9.1195 -6.5867 -0.7876
-4.7451 -3.4272 -0.4098
-0.9905 -3.7622 2.0194
-4.2199 0.8518 0.8247
-1.7219 -2.0965 -3.4428
-6.9147 -0.0964 -0.9559
-2.9972 -5.2100 -3.5509
-3.9526 -4.7075 3.3094
-2.4275 -6.5075 0.7040
-6.4682 -1.1133 2.3788
-4.9688 -2.3931 -4.2802
-5.7262 -7.0552 1.5223
-8.8205 -2.6342 0.3777
-6.4269 -5.4592 -3.7114
-8.1383 -2.9587 -2.7197
-5.0441 -7.3797 -1.5751
-7.4376 -4.5547 2.5140
```

Summary:
SG ... R-3m
Calculated formation energy ... 0.2768 eV per atom

***

The lowest calculated formation energy belongs to which entry? Tb4Pm2Th

***

Among the records above, which one has the highest calculated formation energy? Tb2Pm2Th15

***

The highest calculated formation energy belongs to which entry? Tb2Pm2Th15